Record 1
{
  "formula": "NbInCl3",
  "functional": "PBE-GGA",
  "state": "optimized geometry",
  "lattice": [[-4.005, -4.409, 2.268], [5.394, -2.801, 4.079], [-4.263, 8.306, 8.621]],
  "species": ["Cl", "Cl", "Cl", "Cl", "Cl", "Cl", "Cl", "Cl", "Cl", "Cl", "Cl", "Cl", "Nb", "Nb", "Nb", "Nb", "In", "In", "In", "In"],
  "frac_coords": [[0.511, 0.904, 0.872], [0.272, 0.350, 0.936], [0.989, 0.904, 0.372], [0.489, 0.096, 0.128], [0.011, 0.096, 0.628], [0.982, 0.198, 0.130], [0.518, 0.198, 0.630], [0.482, 0.802, 0.370], [0.018, 0.802, 0.870], [0.228, 0.350, 0.436], [0.772, 0.650, 0.564], [0.728, 0.650, 0.064], [0.698, 0.963, 0.516], [0.198, 0.037, 0.984], [0.302, 0.037, 0.484], [0.802, 0.963, 0.016], [0.170, 0.689, 0.124], [0.330, 0.689, 0.624], [0.830, 0.311, 0.876], [0.670, 0.311, 0.376]],
  "crystal_system": "monoclinic",
  "raw_formation_energy_kj_per_mol_atoms": -80,
  "polymorph_energy_mev_per_atom": 0
}

---

Record 2
{
  "formula": "LaSm2TlC",
  "functional": "PBE-GGA",
  "state": "optimized geometry",
  "lattice": [[-4.830, 1.828, 0.314], [-1.768, -4.321, -2.041], [-0.459, -2.013, 4.658]],
  "species": ["La", "Tl", "Sm", "Sm", "C"],
  "frac_coords": [[0.500, 0.000, 0.000], [0.500, 0.500, 0.500], [0.000, 0.000, 0.500], [0.000, 0.500, 0.000], [0.000, 0.000, 0.000]],
  "n_ef_per_ev_atom": 0.498,
  "crystal_system": "tetragonal",
  "formation_enthalpy_0k_mev_per_atom": -315.2
}

---

Record 3
{
  "formula": "AlTl2Sb",
  "functional": "PBE-GGA",
  "state": "optimized geometry",
  "lattice": [[-4.856, 0.834, 1.217], [0.243, -3.329, 3.254], [1.333, 3.171, 3.145]],
  "species": ["Al", "Sb", "Tl", "Tl"],
  "frac_coords": [[0.500, 0.500, 0.000], [0.500, 0.000, 0.500], [0.000, 0.500, 0.500], [0.000, 0.000, 0.000]],
  "n_ef_per_ev_atom": 0.315,
  "crystal_system": "tetragonal",
  "raw_formation_energy_kj_per_mol_atoms": 17,
  "polymorph_energy_mev_per_atom": 98
}

---

Record 4
{
  "formula": "Co4PAu",
  "functional": "PBE-GGA",
  "state": "optimized geometry",
  "lattice": [[0.000, 3.398, 3.398], [3.398, 0.000, 3.398], [3.398, 3.398, 0.000]],
  "species": ["Au", "Co", "Co", "Co", "Co", "P"],
  "frac_coords": [[0.000, 0.000, 0.000], [0.375, 0.375, 0.375], [0.375, 0.875, 0.375], [0.875, 0.375, 0.375], [0.375, 0.375, 0.875], [0.750, 0.750, 0.750]],
  "n_ef_per_ev_atom": 1.254,
  "crystal_system": "cubic",
  "formation_enthalpy_0k_mev_per_atom": 394.3
}

---

Record 5
{
  "formula": "TaNbVIr2",
  "functional": "PBE-GGA",
  "state": "optimized geometry",
  "lattice": [[4.474, 0.000, 0.000], [0.000, 4.606, 0.000], [0.000, 0.000, 4.474]],
  "species": ["V", "Ta", "Ir", "Ir", "Nb"],
  "frac_coords": [[0.000, 0.000, 0.000], [0.000, 0.500, 0.000], [0.500, 0.000, 0.000], [0.000, 0.000, 0.500], [0.500, 0.500, 0.500]],
  "n_ef_per_ev_atom": 1.049,
  "crystal_system": "tetragonal",
  "formation_enthalpy_0k_mev_per_atom": 896.7
}

---

Record 6
{
  "formula": "Th2Pd12Au5",
  "functional": "PBE-GGA",
  "state": "optimized geometry",
  "lattice": [[-7.645, 1.485, 3.741], [1.923, -6.507, -3.464], [2.048, -2.963, 5.361]],
  "species": ["Pd", "Pd", "Pd", "Pd", "Pd", "Pd", "Pd", "Pd", "Pd", "Pd", "Pd", "Pd", "Au", "Au", "Au", "Au", "Au", "Th", "Th"],
  "frac_coords": [[0.448, 0.896, 0.714], [0.138, 0.276, 0.119], [0.920, 0.463, 0.187], [0.080, 0.537, 0.813], [0.623, 0.795, 0.423], [0.552, 0.104, 0.286], [0.543, 0.463, 0.187], [0.377, 0.205, 0.577], [0.172, 0.795, 0.423], [0.862, 0.724, 0.881], [0.828, 0.205, 0.577], [0.457, 0.537, 0.813], [0.776, 0.551, 0.503], [0.000, 0.000, 0.500], [0.224, 0.449, 0.497], [0.647, 0.293, 0.878], [0.353, 0.707, 0.122], [0.772, 0.000, 0.000], [0.228, 0.000, 0.000]],
  "n_ef_per_ev_atom": 0.417,
  "crystal_system": "monoclinic",
  "formation_enthalpy_0k_mev_per_atom": -334.5
}

---

Record 7
{
  "formula": "YCoBr",
  "functional": "PBE-GGA",
  "state": "optimized geometry",
  "lattice": [[-1.440, -3.228, 1.055], [3.468, 0.153, -1.247], [2.090, 1.007, 5.935]],
  "species": ["Co", "Br", "Y"],
  "frac_coords": [[0.667, 0.333, 0.375], [0.000, 0.000, 0.974], [0.333, 0.667, 0.651]],
  "n_ef_per_ev_atom": 0.734,
  "crystal_system": "trigonal",
  "raw_formation_energy_kj_per_mol_atoms": -20
}

---

Record 8
{
  "formula": "CaGa8Co2",
  "functional": "PBE-GGA",
  "state": "optimized geometry",
  "lattice": [[-1.170, 5.166, -1.848], [-4.466, 0.200, 3.389], [4.467, 3.052, 5.706]],
  "species": ["Co", "Co", "Ga", "Ga", "Ga", "Ga", "Ga", "Ga", "Ga", "Ga", "Ca"],
  "frac_coords": [[0.000, 0.500, 0.000], [0.500, 0.000, 0.000], [0.752, 0.752, 0.178], [0.752, 0.752, 0.822], [0.248, 0.248, 0.822], [0.248, 0.752, 0.822], [0.752, 0.248, 0.822], [0.248, 0.248, 0.178], [0.752, 0.248, 0.178], [0.248, 0.752, 0.178], [0.500, 0.500, 0.500]],
  "n_ef_per_ev_atom": 0.927,
  "crystal_system": "tetragonal",
  "formation_enthalpy_0k_mev_per_atom": 14.3
}

---

Record 9
{
  "formula": "La2Sm3PuP6",
  "functional": "PBE-GGA",
  "state": "optimized geometry",
  "lattice": [[4.148, 0.000, 0.000], [0.000, 8.288, 0.298], [-2.074, -2.385, 8.707]],
  "species": ["P", "P", "P", "P", "P", "P", "Sm", "Sm", "Sm", "Pu", "La", "La"],
  "frac_coords": [[0.335, 0.412, 0.670], [0.002, 0.760, 0.005], [0.336, 0.924, 0.673], [0.664, 0.076, 0.327], [0.998, 0.240, 0.995], [0.665, 0.588, 0.330], [0.833, 0.166, 0.665], [0.500, 0.500, 0.000], [0.167, 0.834, 0.335], [0.500, 0.000, 0.000], [0.834, 0.667, 0.668], [0.166, 0.333, 0.332]],
  "n_ef_per_ev_atom": 1.224,
  "crystal_system": "monoclinic",
  "formation_enthalpy_0k_mev_per_atom": -1480.4
}

---

Record 10
{
  "formula": "Nd8Tl5Sn",
  "functional": "PBE-GGA",
  "state": "optimized geometry",
  "lattice": [[-2.196, -7.686, 2.369], [8.277, 0.367, -0.932], [-2.392, 5.480, 5.809]],
  "species": ["Nd", "Nd", "Nd", "Nd", "Nd", "Nd", "Nd", "Nd", "Tl", "Tl", "Tl", "Tl", "Tl", "Sn"],
  "frac_coords": [[0.127, 0.744, 0.522], [0.478, 0.605, 0.222], [0.985, 0.105, 0.729], [0.271, 0.256, 0.376], [0.778, 0.256, 0.383], [0.617, 0.395, 0.873], [0.120, 0.744, 0.015], [0.624, 0.895, 0.880], [0.880, 0.875, 0.252], [0.500, 0.000, 0.500], [0.995, 0.372, 0.120], [0.377, 0.125, 0.005], [0.748, 0.628, 0.623], [0.250, 0.500, 0.750]],
  "n_ef_per_ev_atom": 1.123,
  "crystal_system": "tetragonal",
  "formation_enthalpy_0k_mev_per_atom": -361.8
}

---

Record 11
{
  "formula": "HfN",
  "functional": "PBE-GGA",
  "state": "optimized geometry",
  "lattice": [[-4.565, 3.680, 5.694], [-3.280, -5.777, -4.762], [0.951, -2.500, 2.378]],
  "species": ["N", "N", "N", "N", "N", "N", "Hf", "Hf", "Hf", "Hf", "Hf", "Hf"],
  "frac_coords": [[0.625, 0.659, 0.750], [0.375, 0.341, 0.250], [0.033, 0.375, 0.750], [0.967, 0.625, 0.250], [0.659, 0.033, 0.250], [0.341, 0.967, 0.750], [0.316, 0.438, 0.750], [0.562, 0.878, 0.750], [0.684, 0.562, 0.250], [0.122, 0.684, 0.750], [0.878, 0.316, 0.250], [0.438, 0.122, 0.250]],
  "n_ef_per_ev_atom": 0.116,
  "crystal_system": "hexagonal",
  "raw_formation_energy_kj_per_mol_atoms": -140
}

---

Record 12
{
  "formula": "KOsCl3",
  "functional": "PBE-GGA",
  "state": "optimized geometry",
  "lattice": [[5.632, 0.000, 0.000], [0.000, 5.632, 0.000], [0.000, 0.000, 5.632]],
  "species": ["K", "Cl", "Cl", "Cl", "Os"],
  "frac_coords": [[0.000, 0.000, 0.000], [0.500, 0.000, 0.000], [0.000, 0.000, 0.500], [0.000, 0.500, 0.000], [0.500, 0.500, 0.500]],
  "n_ef_per_ev_atom": 1.599,
  "crystal_system": "cubic",
  "raw_formation_energy_kj_per_mol_atoms": 89,
  "polymorph_energy_mev_per_atom": 1387
}

---

Record 13
{
  "formula": "GaReSb2Te",
  "functional": "PBE-GGA",
  "state": "optimized geometry",
  "lattice": [[-1.827, -4.570, -1.264], [-0.238, -1.264, 4.916], [-5.479, 2.114, 0.278]],
  "species": ["Sb", "Sb", "Te", "Re", "Ga"],
  "frac_coords": [[0.500, 0.000, 0.000], [0.000, 0.500, 0.000], [0.000, 0.000, 0.500], [0.000, 0.000, 0.000], [0.500, 0.500, 0.500]],
  "n_ef_per_ev_atom": 1.229,
  "crystal_system": "tetragonal",
  "raw_formation_energy_kj_per_mol_atoms": 63,
  "polymorph_energy_mev_per_atom": 0
}

---

Record 14
{
  "formula": "Li2ScHg4",
  "functional": "PBE-GGA",
  "state": "optimized geometry",
  "lattice": [[5.567, 0.092, -1.903], [-2.748, 4.770, -2.077], [0.053, -0.092, 5.883]],
  "species": ["Hg", "Hg", "Hg", "Hg", "Sc", "Li", "Li"],
  "frac_coords": [[0.000, 0.500, 0.000], [0.000, 0.000, 0.500], [0.500, 0.500, 0.500], [0.500, 0.000, 0.000], [0.000, 0.000, 0.000], [0.500, 0.500, 0.000], [0.500, 0.000, 0.500]],
  "n_ef_per_ev_atom": 0.874,
  "crystal_system": "tetragonal",
  "formation_enthalpy_0k_mev_per_atom": -237.8
}

---

Record 15
{
  "formula": "SrFe2Br",
  "functional": "PBE-GGA",
  "state": "optimized geometry",
  "lattice": [[-1.222, 3.832, 0.605], [-2.957, 1.611, -2.282], [-3.926, -3.140, 4.775]],
  "species": ["Fe", "Fe", "Br", "Sr"],
  "frac_coords": [[0.165, 0.165, 0.132], [0.833, 0.833, 0.130], [0.945, 0.945, 0.776], [0.556, 0.556, 0.461]],
  "n_ef_per_ev_atom": 0.616,
  "crystal_system": "monoclinic",
  "raw_formation_energy_kj_per_mol_atoms": 5,
  "polymorph_energy_mev_per_atom": 11
}

---

Record 16
{
  "formula": "KTlHg3",
  "functional": "PBE-GGA",
  "state": "optimized geometry",
  "lattice": [[-3.006, -1.020, -1.864], [2.826, -3.696, -2.534], [-1.941, -9.801, 12.128]],
  "species": ["K", "K", "Hg", "Hg", "Hg", "Hg", "Hg", "Hg", "Tl", "Tl"],
  "frac_coords": [[0.923, 0.750, 0.846], [0.077, 0.250, 0.154], [0.374, 0.250, 0.748], [0.626, 0.750, 0.252], [0.525, 0.750, 0.050], [0.679, 0.250, 0.358], [0.475, 0.250, 0.950], [0.321, 0.750, 0.642], [0.780, 0.250, 0.559], [0.220, 0.750, 0.441]],
  "n_ef_per_ev_atom": 0.460,
  "crystal_system": "orthorhombic",
  "formation_enthalpy_0k_mev_per_atom": -160.1,
  "polymorph_energy_mev_per_atom": 0
}

---

Record 17
{
  "formula": "HfScAg",
  "functional": "PBE-GGA",
  "state": "optimized geometry",
  "lattice": [[-2.616, 0.468, -1.821], [-2.311, -3.938, 2.306], [-4.581, 1.858, 7.057]],
  "species": ["Hf", "Hf", "Sc", "Sc", "Ag", "Ag"],
  "frac_coords": [[0.263, 0.525, 0.518], [0.763, 0.282, 0.860], [0.764, 0.961, 0.603], [0.264, 0.221, 0.239], [0.263, 0.748, 0.918], [0.763, 0.749, 0.200]],
  "n_ef_per_ev_atom": 0.575,
  "crystal_system": "monoclinic",
  "formation_enthalpy_0k_mev_per_atom": -34.0,
  "polymorph_energy_mev_per_atom": 107
}

---

Record 18
{
  "formula": "KAsPt4",
  "functional": "PBE-GGA",
  "state": "optimized geometry",
  "lattice": [[-5.063, -1.247, 1.469], [-2.968, 3.570, 2.793], [-4.196, 2.476, -2.369]],
  "species": ["Pt", "Pt", "Pt", "Pt", "As", "K"],
  "frac_coords": [[0.375, 0.375, 0.874], [0.375, 0.375, 0.375], [0.874, 0.375, 0.375], [0.375, 0.874, 0.375], [0.750, 0.750, 0.750], [0.000, 0.000, 0.000]],
  "n_ef_per_ev_atom": 1.142,
  "crystal_system": "cubic",
  "formation_enthalpy_0k_mev_per_atom": 94.9
}

---

Record 19
{
  "formula": "CeVC",
  "functional": "PBE-GGA",
  "state": "optimized geometry",
  "lattice": [[-0.214, 3.117, -0.207], [-5.700, -0.484, -1.408], [-1.212, 0.237, 4.826]],
  "species": ["C", "C", "V", "V", "Ce", "Ce"],
  "frac_coords": [[0.000, 0.824, 0.356], [0.500, 0.176, 0.856], [0.500, 0.921, 0.575], [0.000, 0.079, 0.075], [0.000, 0.418, 0.577], [0.500, 0.582, 0.077]],
  "n_ef_per_ev_atom": 1.530,
  "crystal_system": "orthorhombic",
  "formation_enthalpy_0k_mev_per_atom": -115.1,
  "polymorph_energy_mev_per_atom": 0
}

---

Record 20
{
  "formula": "KYSnTe3",
  "functional": "PBE-GGA",
  "state": "optimized geometry",
  "lattice": [[-3.538, 1.863, -1.758], [-0.073, -8.350, -3.275], [-6.952, -3.833, 9.929]],
  "species": ["Y", "Y", "Te", "Te", "Te", "Te", "Te", "Te", "K", "K", "Sn", "Sn"],
  "frac_coords": [[0.000, 0.000, 0.000], [0.000, 0.000, 0.500], [0.376, 0.753, 0.502], [0.624, 0.247, 0.002], [0.624, 0.247, 0.498], [0.001, 0.001, 0.250], [0.999, 0.999, 0.750], [0.376, 0.753, 0.998], [0.692, 0.383, 0.750], [0.308, 0.617, 0.250], [0.616, 0.232, 0.250], [0.384, 0.768, 0.750]],
  "crystal_system": "orthorhombic",
  "raw_formation_energy_kj_per_mol_atoms": -85
}

---

Record 21
{
  "formula": "NaSc2Se3",
  "functional": "PBE-GGA",
  "state": "optimized geometry",
  "lattice": [[3.896, 0.000, 0.000], [-1.948, 3.374, 0.000], [0.000, 0.000, 20.545]],
  "species": ["Se", "Se", "Se", "Se", "Se", "Se", "Sc", "Sc", "Sc", "Sc", "Na", "Na"],
  "frac_coords": [[0.667, 0.333, 0.848], [0.000, 0.000, 0.500], [0.333, 0.667, 0.348], [0.333, 0.667, 0.152], [0.667, 0.333, 0.652], [0.000, 0.000, 0.000], [0.667, 0.333, 0.079], [0.333, 0.667, 0.921], [0.333, 0.667, 0.579], [0.667, 0.333, 0.421], [0.000, 0.000, 0.250], [0.000, 0.000, 0.750]],
  "n_ef_per_ev_atom": 0.350,
  "crystal_system": "hexagonal",
  "raw_formation_energy_kj_per_mol_atoms": -153
}